(1)
Entry from the Alexandria database: a geometry-optimized GaSiSN2 structure (PBE).

Values from the calculation:
Size of the total moment ... 0.0 μB per cell
Calculated volume ... 123 Å³/cell
Raw total energy ... -6.0600 eV per atom

a b c (Å): 8.838 2.856 4.894
angles (deg): 90.00 91.53 90.00
Sites, in units of the cell vectors:
Si (0.306, 0.500, 0.144)
Si (0.306, 0.000, 0.644)
S (0.994, 0.000, 0.961)
S (0.994, 0.500, 0.461)
Ga (0.633, 0.500, 0.827)
Ga (0.633, 0.000, 0.327)
N (0.179, 0.000, 0.970)
N (0.403, 0.000, 0.315)
N (0.403, 0.500, 0.815)
N (0.179, 0.500, 0.470)

=====

(2)
Entry from the Alexandria database: a geometry-optimized GaSiSN2 structure (PBE).

Values from the calculation:
Size of the total moment ... 0.0 μB per cell
Calculated volume ... 149 Å³/cell
Raw total energy ... -5.8875 eV per atom

a b c (Å): 7.226 2.696 8.329
angles (deg): 90.00 113.14 90.00
Sites, in units of the cell vectors:
Si (0.056, 0.500, 0.527)
Si (0.056, 0.000, 0.027)
N (0.943, 0.000, 0.609)
N (0.201, 0.500, 0.005)
N (0.943, 0.500, 0.109)
N (0.201, 0.000, 0.505)
S (0.807, 0.500, 0.225)
S (0.807, 0.000, 0.725)
Ga (0.429, 0.500, 0.944)
Ga (0.429, 0.000, 0.444)